Record 1
The following is a DFT calculation (PBE) of an optimized crystal structure of InSb2Br.

abc: 5.6068 5.6068 3.4680
angles: 90.00 90.00 90.00
With the nearest neighbours (Å) after each atom.
Sites, in units of the cell vectors:
Sb  0.0000  0.0000  0.0000  4 In 3.30, 4 Br 3.30, 2 Sb 3.47
Sb  0.5000  0.5000  0.0000  4 In 3.30, 4 Br 3.30, 2 Sb 3.47
Br  0.5000  0.0000  0.5000  8 Sb 3.30, 2 Br 3.47
In  0.0000  0.5000  0.5000  8 Sb 3.30, 2 In 3.47

Properties
**Distance to the lowest polymorph of the same formula**: 1.20 eV per formula unit

Record 2
The following is a DFT calculation (PBE) of an optimized crystal structure of InSb2Br.

abc: 5.3968 5.3968 5.3968
angles: 60.00 60.00 60.00
With the nearest neighbours (Å) after each atom.
Sites, in units of the cell vectors:
Br  0.5000  0.5000  0.5000  4 In 3.30, 4 Sb 3.30
Sb  0.2500  0.2500  0.2500  4 Sb 3.30, 4 Br 3.30
Sb  0.0000  0.0000  0.0000  4 Sb 3.30, 4 In 3.30
In  0.7500  0.7500  0.7500  4 Br 3.30, 4 Sb 3.30

Properties
**Distance to the lowest polymorph of the same formula**: 0.53 eV per formula unit

Record 3
The following is a DFT calculation (PBE) of an optimized crystal structure of In4SbBr6.

abc: 8.9028 8.9028 9.3335
angles: 90.00 90.00 90.00
With the nearest neighbours (Å) after each atom.
Sites, in units of the cell vectors:
Sb  0.5000  0.5000  0.0000  6 Br 2.79-3.11
Sb  0.0000  0.0000  0.5000  6 Br 2.79-3.11
In  0.6503  0.8497  0.2500  6 Br 3.30-3.55
In  0.3497  0.1503  0.2500  6 Br 3.30-3.55
In  0.8497  0.3497  0.2500  6 Br 3.30-3.55
In  0.1503  0.6503  0.7500  6 Br 3.30-3.55
In  0.6503  0.8497  0.7500  6 Br 3.30-3.55
In  0.1503  0.6503  0.2500  6 Br 3.30-3.55
In  0.8497  0.3497  0.7500  6 Br 3.30-3.55
In  0.3497  0.1503  0.7500  6 Br 3.30-3.55
Br  0.3164  0.8524  0.5000  1 Sb 3.11, 2 In 3.30
Br  0.0000  0.0000  0.7992  1 Sb 2.79
Br  0.3524  0.8164  0.0000  1 Sb 3.11, 2 In 3.30
Br  0.5000  0.5000  0.2992  1 Sb 2.79
Br  0.6836  0.1476  0.5000  1 Sb 3.11, 2 In 3.30
Br  0.0000  0.0000  0.2008  1 Sb 2.79
Br  0.1476  0.3164  0.5000  1 Sb 3.11, 2 In 3.30
Br  0.1836  0.3524  0.0000  1 Sb 3.11, 2 In 3.30
Br  0.8524  0.6836  0.5000  1 Sb 3.11, 2 In 3.30
Br  0.5000  0.5000  0.7008  1 Sb 2.79
Br  0.6476  0.1836  0.0000  1 Sb 3.11, 2 In 3.30
Br  0.8164  0.6476  0.0000  1 Sb 3.11, 2 In 3.30

Record 4
The following is a DFT calculation (PBE) of an optimized crystal structure of In2SbBr.

abc: 3.4825 5.7974 5.5378
angles: 90.00 90.00 90.00
With the nearest neighbours (Å) after each atom.
Sites, in units of the cell vectors:
Br  0.0000  0.5000  0.5000  4 In 3.27, 4 Sb 3.38, 2 Br 3.48
In  0.5000  0.5000  0.0000  4 Br 3.27, 6 In 3.38-3.48
In  0.0000  0.0000  0.0000  4 Sb 3.27, 6 In 3.38-3.48
Sb  0.5000  0.0000  0.5000  4 In 3.27, 4 Br 3.38, 2 Sb 3.48

Properties
**Distance to the lowest polymorph of the same formula**: 0.95 eV per formula unit

Number 1: E -3.003 eV/atom. Number 2: E -3.172 eV/atom. Number 3: E -2.781 eV/atom. Number 4: E -2.850 eV/atom.